This record from Alexandria via LeMat-Bulk describes a relaxed structure of Pm3Pr5Tm. The functional is PBE.

Values from the calculation:
mass density	6.08	Mg/m³
ΔE_f	0.5362	eV/atom
VASP energy	-75.59	eV for the cell shown

```
Pm3Pr5Tm
1.0
-1.471 -1.185 7.971
-5.993 -5.264 -1.866
3.758 -10.833 2.764
Pr Pm Tm
10 6 2
Direct
0.033 0.566 0.650
0.530 0.530 0.620
0.566 0.033 0.650
0.434 0.967 0.350
0.696 0.696 0.094
0.746 0.254 0.000
0.967 0.434 0.350
0.254 0.746 0.000
0.304 0.304 0.906
0.470 0.470 0.380
0.380 0.380 0.155
0.792 0.792 0.348
0.000 0.000 0.500
0.000 0.000 0.000
0.208 0.208 0.652
0.620 0.620 0.845
0.091 0.091 0.205
0.909 0.909 0.795
```